1.
Compound: AcPmBiBr
Source: Alexandria via LeMat-Bulk
Functional: PBE
Structure: relaxed

Properties
V (Å³ per cell): 499.6
E_form (uncorrected) (eV per atom): -0.99

Geometry as CIF:
```
data_AcPmBiBr
_chemical_formula_sum 'Ac4 Pm4 Bi4 Br4'
_cell_length_a 7.935
_cell_length_b 7.935
_cell_length_c 7.935
_cell_angle_alpha 90.00
_cell_angle_beta 90.00
_cell_angle_gamma 90.00
_space_group_name_H-M_alt 'P 1'
_space_group_IT_number 1
loop_
_space_group_symop_operation_xyz
'x,y,z'
loop_
_atom_site_label
_atom_site_type_symbol
_atom_site_fract_x
_atom_site_fract_y
_atom_site_fract_z
Ac1 Ac 0.000 0.000 0.000
Ac2 Ac 0.000 0.500 0.500
Ac3 Ac 0.500 0.000 0.500
Ac4 Ac 0.500 0.500 0.000
Pm1 Pm 0.000 0.000 0.500
Pm2 Pm 0.000 0.500 0.000
Pm3 Pm 0.500 0.000 0.000
Pm4 Pm 0.500 0.500 0.500
Bi1 Bi 0.250 0.250 0.250
Bi2 Bi 0.250 0.750 0.750
Bi3 Bi 0.750 0.250 0.750
Bi4 Bi 0.750 0.750 0.250
Br1 Br 0.250 0.250 0.750
Br2 Br 0.250 0.750 0.250
Br3 Br 0.750 0.250 0.250
Br4 Br 0.750 0.750 0.750
```

---

2.
Compound: AcPrBiBr
Source: Alexandria via LeMat-Bulk
Functional: PBE
Structure: relaxed

Properties
V (Å³ per cell): 508.1
E_form (uncorrected) (eV per atom): -1.02

Geometry as CIF:
```
data_AcPrBiBr
_chemical_formula_sum 'Ac4 Pr4 Bi4 Br4'
_cell_length_a 7.980
_cell_length_b 7.980
_cell_length_c 7.980
_cell_angle_alpha 90.00
_cell_angle_beta 90.00
_cell_angle_gamma 90.00
_space_group_name_H-M_alt 'P 1'
_space_group_IT_number 1
loop_
_space_group_symop_operation_xyz
'x,y,z'
loop_
_atom_site_label
_atom_site_type_symbol
_atom_site_fract_x
_atom_site_fract_y
_atom_site_fract_z
Ac1 Ac 0.000 0.000 0.000
Ac2 Ac 0.000 0.500 0.500
Ac3 Ac 0.500 0.000 0.500
Ac4 Ac 0.500 0.500 0.000
Pr1 Pr 0.000 0.000 0.500
Pr2 Pr 0.000 0.500 0.000
Pr3 Pr 0.500 0.000 0.000
Pr4 Pr 0.500 0.500 0.500
Bi1 Bi 0.250 0.250 0.250
Bi2 Bi 0.250 0.750 0.750
Bi3 Bi 0.750 0.250 0.750
Bi4 Bi 0.750 0.750 0.250
Br1 Br 0.250 0.250 0.750
Br2 Br 0.250 0.750 0.250
Br3 Br 0.750 0.250 0.250
Br4 Br 0.750 0.750 0.750
```

---

3.
Compound: AcBiPtBr
Source: Alexandria via LeMat-Bulk
Functional: PBE
Structure: relaxed

Properties
V (Å³ per cell): 270.9
E_form (uncorrected) (eV per atom): -1.13

Geometry as CIF:
```
data_AcBiPtBr
_chemical_formula_sum 'Ac2 Bi2 Pt2 Br2'
_cell_length_a 14.431
_cell_length_b 14.431
_cell_length_c 14.431
_cell_angle_alpha 18.74
_cell_angle_beta 18.74
_cell_angle_gamma 18.74
_space_group_name_H-M_alt 'P 1'
_space_group_IT_number 1
loop_
_space_group_symop_operation_xyz
'x,y,z'
loop_
_atom_site_label
_atom_site_type_symbol
_atom_site_fract_x
_atom_site_fract_y
_atom_site_fract_z
Ac1 Ac 0.084 0.084 0.084
Ac2 Ac 0.916 0.916 0.916
Bi1 Bi 0.305 0.305 0.305
Bi2 Bi 0.695 0.695 0.695
Pt1 Pt 0.377 0.377 0.377
Pt2 Pt 0.623 0.623 0.623
Br1 Br 0.206 0.206 0.206
Br2 Br 0.794 0.794 0.794
```

---

4.
Compound: Ac3BiPtBr
Source: Alexandria via LeMat-Bulk
Functional: PBE
Structure: relaxed

Properties
V (Å³ per cell): 434.1
E_form (uncorrected) (eV per atom): -1.11

Geometry as CIF:
```
data_Ac3BiPtBr
_chemical_formula_sum 'Ac6 Bi2 Pt2 Br2'
_cell_length_a 7.963
_cell_length_b 4.419
_cell_length_c 12.592
_cell_angle_alpha 90.00
_cell_angle_beta 101.56
_cell_angle_gamma 90.00
_space_group_name_H-M_alt 'P 1'
_space_group_IT_number 1
loop_
_space_group_symop_operation_xyz
'x,y,z'
loop_
_atom_site_label
_atom_site_type_symbol
_atom_site_fract_x
_atom_site_fract_y
_atom_site_fract_z
Ac1 Ac 0.040 0.250 0.136
Ac2 Ac 0.278 0.250 0.496
Ac3 Ac 0.457 0.750 0.859
Ac4 Ac 0.543 0.250 0.141
Ac5 Ac 0.722 0.750 0.504
Ac6 Ac 0.960 0.750 0.864
Bi1 Bi 0.353 0.750 0.308
Bi2 Bi 0.647 0.250 0.692
Pt1 Pt 0.234 0.250 0.946
Pt2 Pt 0.766 0.750 0.054
Br1 Br 0.119 0.750 0.634
Br2 Br 0.881 0.250 0.366
```

---

5.
Compound: Ac3BiRhBr
Source: Alexandria via LeMat-Bulk
Functional: PBE
Structure: relaxed

Properties
V (Å³ per cell): 422.8
E_form (uncorrected) (eV per atom): -0.89

Geometry as CIF:
```
data_Ac3BiRhBr
_chemical_formula_sum 'Ac6 Bi2 Rh2 Br2'
_cell_length_a 8.568
_cell_length_b 4.533
_cell_length_c 11.505
_cell_angle_alpha 90.00
_cell_angle_beta 108.89
_cell_angle_gamma 90.00
_space_group_name_H-M_alt 'P 1'
_space_group_IT_number 1
loop_
_space_group_symop_operation_xyz
'x,y,z'
loop_
_atom_site_label
_atom_site_type_symbol
_atom_site_fract_x
_atom_site_fract_y
_atom_site_fract_z
Ac1 Ac 0.038 0.250 0.362
Ac2 Ac 0.200 0.250 0.968
Ac3 Ac 0.428 0.750 0.628
Ac4 Ac 0.572 0.250 0.372
Ac5 Ac 0.800 0.750 0.032
Ac6 Ac 0.962 0.750 0.638
Bi1 Bi 0.221 0.750 0.197
Bi2 Bi 0.779 0.250 0.803
Rh1 Rh 0.206 0.250 0.622
Rh2 Rh 0.794 0.750 0.378
Br1 Br 0.395 0.750 0.888
Br2 Br 0.605 0.250 0.112
```

---

6.
Compound: Ac3BiRuBr
Source: Alexandria via LeMat-Bulk
Functional: PBE
Structure: relaxed

Properties
V (Å³ per cell): 406.6
E_form (uncorrected) (eV per atom): -0.66

Geometry as CIF:
```
data_Ac3BiRuBr
_chemical_formula_sum 'Ac6 Bi2 Ru2 Br2'
_cell_length_a 8.806
_cell_length_b 4.674
_cell_length_c 10.580
_cell_angle_alpha 90.00
_cell_angle_beta 110.96
_cell_angle_gamma 90.00
_space_group_name_H-M_alt 'P 1'
_space_group_IT_number 1
loop_
_space_group_symop_operation_xyz
'x,y,z'
loop_
_atom_site_label
_atom_site_type_symbol
_atom_site_fract_x
_atom_site_fract_y
_atom_site_fract_z
Ac1 Ac 0.030 0.250 0.363
Ac2 Ac 0.200 0.250 0.965
Ac3 Ac 0.401 0.750 0.598
Ac4 Ac 0.599 0.250 0.402
Ac5 Ac 0.800 0.750 0.035
Ac6 Ac 0.970 0.750 0.637
Bi1 Bi 0.236 0.750 0.217
Bi2 Bi 0.764 0.250 0.783
Ru1 Ru 0.218 0.250 0.636
Ru2 Ru 0.782 0.750 0.364
Br1 Br 0.391 0.750 0.887
Br2 Br 0.609 0.250 0.113
```